Entry 1:
## BaZrO3 (GGA-PBE)

Data for crystalline BaZrO3 at its relaxed geometry.

Results
Its total energy is -8.08 eV/atom. For the formation energy from raw total energies, the calculation gives -3.01 eV per atom. Its density of states at the Fermi level is 0.00 states/eV/atom. The total magnetic moment is 0.0 μB/f.u.

```
BaZrO3
1.0
3.5777 0.0000 0.0000
0.0000 5.6406 0.0000
0.0000 0.0000 7.4532
Ba Zr O
2 2 6
direct
0.2500 0.2500 0.1307
0.7500 0.7500 0.8693
0.2500 0.7500 0.4049
0.7500 0.2500 0.5951
0.2500 0.0041 0.6264
0.2500 0.4959 0.6264
0.2500 0.7500 0.1251
0.7500 0.2500 0.8749
0.7500 0.5041 0.3736
0.7500 0.9959 0.3736
```

---

Entry 2:
## Ba5ZrO8 (GGA-PBE)

Data for crystalline Ba5ZrO8 at its relaxed geometry.

Results
Its total energy is -6.48 eV/atom. For the formation energy from raw total energies, the calculation gives -2.35 eV per atom. Its density of states at the Fermi level is 0.03 states/eV/atom. The total magnetic moment is 2.0 μB/f.u.

```
Ba5ZrO8
1.0
-3.9451 3.9451 3.9114
3.9451 -3.9451 3.9114
3.9451 3.9451 -3.9114
Ba Zr O
5 1 8
direct
0.0000 0.0000 0.0000
0.2449 0.1287 0.6306
0.3856 0.7551 0.8838
0.4982 0.6144 0.3694
0.8713 0.5018 0.1162
0.7500 0.2500 0.5000
0.0556 0.3588 0.4090
0.0758 0.3687 0.8578
0.3534 0.9444 0.3032
0.5109 0.2180 0.1422
0.6313 0.4891 0.7071
0.6412 0.0502 0.6968
0.7820 0.9242 0.2929
0.9498 0.6466 0.5910
```

---

Entry 3:
## BaZrO3 (GGA-PBE)

Data for crystalline BaZrO3 at its relaxed geometry.

Results
Its total energy is -8.05 eV/atom. For the formation energy from raw total energies, the calculation gives -2.98 eV per atom. Its density of states at the Fermi level is 0.00 states/eV/atom. The total magnetic moment is 0.0 μB/f.u.

```
BaZrO3
1.0
4.6595 0.0000 0.0000
0.0000 5.8717 0.0000
-0.8568 0.0000 6.2608
Ba Zr O
2 2 6
direct
0.1586 0.2500 0.3933
0.8414 0.7500 0.6067
0.4251 0.7500 0.0896
0.5749 0.2500 0.9104
0.2650 0.5045 0.8550
0.2650 0.9955 0.8550
0.2849 0.7500 0.3719
0.7151 0.2500 0.6281
0.7350 0.0045 0.1450
0.7350 0.4955 0.1450
```

---

Entry 4:
## BaZrO3 (GGA-PBE)

Data for crystalline BaZrO3 at its relaxed geometry.

Results
Its total energy is -6.94 eV/atom. For the formation energy from raw total energies, the calculation gives -1.87 eV per atom. Its density of states at the Fermi level is 0.29 states/eV/atom. The total magnetic moment is 1.0 μB/f.u.

```
BaZrO3
1.0
-1.9345 1.9345 11.8870
1.9345 -1.9345 11.8870
1.9345 1.9345 -11.8870
Ba Zr O
2 2 6
direct
0.0000 0.0000 0.0000
0.7500 0.2500 0.5000
0.1321 0.6321 0.5000
0.3679 0.8679 0.5000
0.3223 0.3223 0.0000
0.3593 0.1064 0.2528
0.6777 0.6777 0.0000
0.8536 0.1064 0.7472
0.8936 0.1464 0.2528
0.8936 0.6407 0.7472
```

---

Entry 5:
## Ba2ZrO3 (GGA-PBE)

Data for crystalline Ba2ZrO3 at its relaxed geometry.

Results
Its total energy is -7.12 eV/atom. For the formation energy from raw total energies, the calculation gives -2.58 eV per atom. Its density of states at the Fermi level is 0.30 states/eV/atom. The total magnetic moment is 0.0 μB/f.u.

```
Ba2ZrO3
1.0
4.0008 0.0000 0.0000
0.0000 4.2919 0.0000
0.0000 0.0000 13.8733
Ba Zr O
4 2 6
direct
0.0000 0.0000 0.1484
0.0000 0.0000 0.8516
0.5000 0.5000 0.3516
0.5000 0.5000 0.6484
0.0000 0.0000 0.5000
0.5000 0.5000 0.0000
0.0000 0.0000 0.3481
0.0000 0.0000 0.6519
0.0000 0.5000 0.5000
0.5000 0.0000 0.0000
0.5000 0.5000 0.1519
0.5000 0.5000 0.8481
```

---

Entry 6:
## BaZrO3 (GGA-PBE)

Data for crystalline BaZrO3 at its relaxed geometry.

Results
Its total energy is -8.29 eV/atom. For the formation energy from raw total energies, the calculation gives -3.22 eV per atom. Its density of states at the Fermi level is 0.00 states/eV/atom. The total magnetic moment is 0.0 μB/f.u.

```
BaZrO3
1.0
-3.0060 3.0060 4.2586
3.0060 -3.0060 4.2586
3.0060 3.0060 -4.2586
Ba Zr O
2 2 6
direct
0.2500 0.7500 0.5000
0.7500 0.2500 0.5000
0.0000 0.0000 0.0000
0.5000 0.5000 0.0000
0.2346 0.7346 0.9691
0.2500 0.2500 0.0000
0.2654 0.2346 0.5000
0.7346 0.7654 0.5000
0.7500 0.7500 0.0000
0.7654 0.2654 0.0309
```

---

> total magnetic moment of number 2 (Ba5ZrO8)?

2.0 μB/f.u.

---

> Which of these has the highest total magnetic moment?

Ba5ZrO8

---

> What is the formation energy from raw total energies in the fifth record?

-2.58 eV per atom